1.
Density functional theory data (PBE) for a geometry-optimized Nd8InAu2 structure.

As for the polymorph energy (0 for the lowest one): 0.00 eV/f.u. The value obtained for the formation enthalpy at 0 K is -0.364 eV per atom.

The space group is C2/m (No. 12) and the conventional cell measures 17.836, 5.123 and 8.106 Å, with angles of 90.00, 114.16 and 90.00 degrees. Symmetry generates all atoms from Nd at (0.044, 0.000, 0.261), Nd at (0.092, 0.500, 0.961), Nd at (0.180, 0.500, 0.469), Nd at (0.184, 0.000, 0.782), In at (0.000, 0.500, 0.500) and Au at (0.191, 0.000, 0.157).



2.
Density functional theory data (PBE) for a geometry-optimized YGeB2 structure.

The value obtained for the formation enthalpy at 0 K is 0.333 eV per atom.

The space group is I-42d (No. 122) and the conventional cell measures 4.326, 4.326 and 13.369 Å, with angles of 90.00, 90.00 and 90.00 degrees. Symmetry generates all atoms from Y at (0.000, 0.000, 0.000), Ge at (0.000, 0.000, 0.500) and B at (0.093, 0.250, 0.625).



3.
Density functional theory data (PBE) for a geometry-optimized YMg2Cu2 structure.

As for the polymorph energy (0 for the lowest one): 0.68 eV/f.u. The value obtained for the formation enthalpy at 0 K is -0.018 eV per atom.

The space group is Cmc2_1 (No. 36) and the conventional cell measures 4.212, 14.615 and 6.492 Å, with angles of 90.00, 90.00 and 90.00 degrees. Symmetry generates all atoms from Y at (0.000, 0.092, 0.000), Mg at (0.000, 0.118, 0.502), Mg at (0.000, 0.286, 0.760), Cu at (0.000, 0.331, 0.239) and Cu at (0.000, 0.482, 0.782).



4.
Density functional theory data (PBE) for a geometry-optimized AcPu2HgO8 structure.

The formation energy from raw total energies is -2335.0 kJ/mol of formula units.

The space group is I-4m2 (No. 119) and the conventional cell measures 7.562, 7.562 and 7.683 Å, with angles of 90.00, 90.00 and 90.00 degrees. Symmetry generates all atoms from Ac at (0.000, 0.000, 0.000), Pu at (0.000, 0.000, 0.500), Pu at (0.000, 0.500, 0.250), Hg at (0.000, 0.500, 0.750), O at (0.000, 0.182, 0.690) and O at (0.000, 0.318, 0.066).



5.
Density functional theory data (PBE) for a geometry-optimized KNa2InBr4 structure.

The formation energy from raw total energies is -1055.2 kJ/mol of formula units.

The space group is P2/m (No. 10) and the conventional cell measures 7.731, 4.465 and 7.910 Å, with angles of 90.00, 109.02 and 90.00 degrees. Symmetry generates all atoms from K at (0.000, 0.000, 0.000), Na at (0.000, 0.500, 0.500), Na at (0.500, 0.000, 0.500), In at (0.500, 0.500, 0.000), Br at (0.239, 0.000, 0.720) and Br at (0.258, 0.500, 0.277).



6.
Density functional theory data (PBE) for a geometry-optimized LaScIn structure.

As for the polymorph energy (0 for the lowest one): 0.18 eV/f.u. The value obtained for the formation enthalpy at 0 K is -0.288 eV per atom.

The space group is P4/nmm (No. 129, origin choice 2) and the conventional cell measures 3.649, 3.649 and 12.787 Å, with angles of 90.00, 90.00 and 90.00 degrees. Symmetry generates all atoms from La at (0.250, 0.250, 0.121), Sc at (0.250, 0.250, 0.427) and In at (0.250, 0.250, 0.703).



7.
Density functional theory data (PBE) for a geometry-optimized K2GaOsO6 structure.

The formation energy from raw total energies is -1320.9 kJ/mol of formula units.

The space group is Fm-3m (No. 225) and the conventional cell measures 7.866, 7.866 and 7.866 Å, with angles of 90.00, 90.00 and 90.00 degrees. Symmetry generates all atoms from K at (0.250, 0.250, 0.250), Ga at (0.000, 0.000, 0.000), Os at (0.000, 0.000, 0.500) and O at (0.000, 0.000, 0.257).